Material: Pm6CoC2Cl3
Method: DFT, PBE
State: optimized geometry

The structure in POSCAR format:
```
Pm6CoC2Cl3
1.0
9.008 -1.895 0.000
9.008 1.895 0.000
-2.805 0.000 8.040
Pm Co C Cl
6 1 2 3
direct
0.019 0.019 0.237
0.319 0.319 0.448
0.340 0.340 0.872
0.660 0.660 0.128
0.681 0.681 0.552
0.981 0.981 0.763
0.500 0.500 0.000
0.170 0.170 0.340
0.830 0.830 0.660
0.169 0.169 0.826
0.500 0.500 0.500
0.831 0.831 0.174
```

Output
The calculation puts the energy at -0.4333 Ry/atom.